No. 1
A plane-wave DFT calculation with GGA-PBE was carried out for a geometry-optimized RbHgBr3 structure.

## Properties
The calculation puts the total energy at -2.1856 eV per atom. Its total magnetization is 0.00 μB/f.u.

a = 9.8023 Å, b = 8.3807 Å, c = 9.8023 Å
α = 90.00°, β = 78.73°, γ = 90.00°
Positions (direct):
Br  0.8770  0.2853  0.3770
Br  0.3928  0.4506  0.3582
Br  0.6072  0.5494  0.6418
Br  0.6418  0.9506  0.6072
Br  0.3582  0.0494  0.3928
Br  0.1230  0.7147  0.6230
Br  0.8583  0.4506  0.8927
Br  0.6230  0.7853  0.1230
Br  0.1073  0.9506  0.1417
Br  0.8927  0.0494  0.8583
Br  0.3770  0.2147  0.8770
Br  0.1417  0.5494  0.1073
Hg  0.8746  0.7500  0.8746
Hg  0.1254  0.2500  0.1254
Hg  0.6255  0.2500  0.6255
Hg  0.3745  0.7500  0.3745
Rb  0.6277  0.2035  0.1276
Rb  0.3723  0.7965  0.8724
Rb  0.8724  0.7035  0.3723
Rb  0.1276  0.2965  0.6277


No. 2
A plane-wave DFT calculation with GGA-PBE was carried out for a geometry-optimized NbP2PbN structure.

## Properties
The calculation puts the total energy at -5.3787 eV per atom. Its total magnetization is 2.37 μB/f.u.

a = 4.7488 Å, b = 5.6883 Å, c = 4.7488 Å
α = 90.00°, β = 90.00°, γ = 90.00°
Each line ends with the local moment (μB).
Positions (direct):
P  0.5000  0.0000  0.0000  -0.03
P  0.0000  0.0000  0.5000  -0.05
Pb  0.0000  0.5000  0.0000  -0.04
Nb  0.0000  0.0000  0.0000  0.23
N  0.5000  0.5000  0.5000  1.57


No. 3
A plane-wave DFT calculation with GGA-PBE was carried out for a geometry-optimized Ba2UCuSe5 structure.

## Properties
The calculation puts the total energy at -5.4626 eV per atom. Its total magnetization is 1.01 μB/f.u.

a = 4.2780 Å, b = 9.6042 Å, c = 13.2916 Å
α = 90.00°, β = 90.00°, γ = 102.87°
Each line ends with the local moment (μB).
Positions (direct):
Se  0.2982  0.5965  0.6593  -0.05
Se  0.3444  0.6888  0.0133  -0.04
Se  0.9446  0.8892  0.5244  -0.07
Se  0.6556  0.3112  0.5133  -0.04
Se  0.5032  0.0064  0.7762  -0.02
Se  0.6996  0.3993  0.8768  -0.05
Se  0.0554  0.1108  0.0244  -0.07
Se  0.3004  0.6007  0.3768  -0.05
Se  0.7018  0.4035  0.1593  -0.05
Se  0.4968  0.9936  0.2762  -0.02
Ba  0.1158  0.2316  0.3279  0.00
Ba  0.8842  0.7684  0.8279  0.00
Ba  0.8844  0.7687  0.1973  0.00
Ba  0.1156  0.2313  0.6973  0.00
Cu  0.5728  0.1456  0.9300  -0.07
Cu  0.4272  0.8544  0.4300  -0.07
U  0.8018  0.6035  0.5188  1.37
U  0.1982  0.3965  0.0188  1.37


No. 4
A plane-wave DFT calculation with GGA-PBE was carried out for a geometry-optimized Pr5Sm5Ho structure.

## Properties
Its total magnetization is 0.00 μB/f.u. The calculation puts the formation energy at 2.63 eV/f.u.

a = 6.1375 Å, b = 10.0953 Å, c = 7.0888 Å
α = 110.57°, β = 90.00°, γ = 107.70°
Positions (direct):
Sm  0.3756  0.7511  0.3753
Sm  0.6244  0.2489  0.6247
Sm  0.0000  0.0000  0.5000
Sm  0.3304  0.6609  0.8301
Sm  0.6696  0.3391  0.1699
Pr  0.8255  0.6511  0.0692
Pr  0.1745  0.3489  0.9308
Pr  0.8257  0.6515  0.5811
Pr  0.1743  0.3485  0.4189
Pr  0.5000  0.0000  0.0000
Ho  0.0000  0.0000  0.0000


No. 5
A plane-wave DFT calculation with GGA-PBE was carried out for a geometry-optimized Ba2Sn8Bi structure.

## Properties
Its total magnetization is 0.00 μB/f.u. The calculation puts the formation energy at -3.24 eV/f.u.

a = 6.8099 Å, b = 6.8576 Å, c = 12.1527 Å
α = 130.59°, β = 122.98°, γ = 59.15°
Positions (direct):
Sn  0.2476  0.7810  0.5090
Sn  0.7627  0.4492  0.0225
Sn  0.9708  0.0942  0.7560
Sn  0.0292  0.9058  0.2440
Sn  0.7577  0.7849  0.7654
Sn  0.2423  0.2151  0.2346
Sn  0.7524  0.2190  0.4910
Sn  0.2373  0.5508  0.9775
Ba  0.3225  0.4005  0.6538
Ba  0.6775  0.5995  0.3462
Bi  0.5000  0.0000  0.0000


No. 6
A plane-wave DFT calculation with GGA-PBE was carried out for a geometry-optimized AcAsN structure.

## Properties
The calculation puts the total energy at -6.4186 eV per atom. Its total magnetization is 0.00 μB/f.u.

a = 3.9542 Å, b = 3.9542 Å, c = 9.4422 Å
α = 102.09°, β = 102.09°, γ = 90.00°
Positions (direct):
Ac  0.3295  0.3295  0.6591
Ac  0.6705  0.6705  0.3409
N  0.1891  0.1891  0.3781
N  0.8109  0.8109  0.6219
As  0.9193  0.9193  0.8386
As  0.0807  0.0807  0.1614


No. 7
A plane-wave DFT calculation with GGA-PBE was carried out for a geometry-optimized K2HN2 structure.

## Properties
The calculation puts the total energy at -4.5956 eV per atom. Its total magnetization is 0.46 μB/f.u.

a = 4.0075 Å, b = 4.1698 Å, c = 7.4872 Å
α = 78.41°, β = 74.48°, γ = 61.28°
Each line ends with the local moment (μB).
Positions (direct):
N  0.5451  0.3614  0.5484  0.12
N  0.4549  0.6386  0.4516  0.12
K  0.2485  0.2776  0.2253  0.01
K  0.7515  0.7224  0.7747  0.01
H  0.0000  0.0000  0.0000  0.00


No. 8
A plane-wave DFT calculation with GGA-PBE was carried out for a geometry-optimized KFeAg structure.

## Properties
Its total magnetization is 2.88 μB/f.u. The calculation puts the formation energy at 1.98 eV/f.u.

a = 6.5159 Å, b = 6.5159 Å, c = 6.5159 Å
α = 154.78°, β = 140.85°, γ = 47.14°
Each line ends with the local moment (μB).
Positions (direct):
K  0.6650  0.6650  0.0000  -0.02
Fe  0.3908  0.3908  0.0000  2.96
Ag  0.9442  0.9442  0.0000  0.03


No. 9
A plane-wave DFT calculation with GGA-PBE was carried out for a geometry-optimized Li4IBr3 structure.

## Properties
The calculation puts the total energy at -3.2307 eV per atom. Its total magnetization is 0.00 μB/f.u.

a = 6.7957 Å, b = 7.5393 Å, c = 8.7224 Å
α = 90.00°, β = 90.00°, γ = 90.00°
Positions (direct):
Br  0.5206  0.3367  0.7495
Br  0.5206  0.3367  0.2505
Br  0.5185  0.8208  0.0000
Br  0.0206  0.6633  0.2495
Br  0.0206  0.6633  0.7505
Br  0.0185  0.1792  0.5000
Li  0.4828  0.1599  0.0000
Li  0.6436  0.6561  0.2347
Li  0.9828  0.8401  0.5000
Li  0.1436  0.3439  0.7347
Li  0.6436  0.6561  0.7653
Li  0.1436  0.3439  0.2653
Li  0.1405  0.8067  0.0000
Li  0.6405  0.1933  0.5000
I  0.5451  0.8363  0.5000
I  0.0451  0.1637  0.0000


No. 10
A plane-wave DFT calculation with GGA-PBE was carried out for a geometry-optimized Rb3Tb3NbO8 structure.

## Properties
The calculation puts the total energy at -7.0802 eV per atom. Its total magnetization is 1.01 μB/f.u.

a = 6.9019 Å, b = 6.9018 Å, c = 7.6999 Å
α = 116.64°, β = 90.00°, γ = 120.00°
Each line ends with the local moment (μB).
Positions (direct):
Tb  0.5000  0.5000  0.5000  0.02
Tb  0.5000  0.0000  0.5000  0.02
Tb  0.0000  0.5000  0.5000  0.02
O  0.7442  0.9528  0.6613  0.01
O  0.2086  0.4173  0.6613  0.01
O  0.2558  0.0472  0.3387  0.01
O  0.7250  0.4500  0.6749  0.00
O  0.2750  0.5500  0.3251  0.00
O  0.7914  0.0472  0.3387  0.01
O  0.2086  0.9528  0.6613  0.01
O  0.7914  0.5827  0.3387  0.01
Rb  0.5000  0.5000  0.0000  0.00
Rb  0.0000  0.0000  0.0000  0.00
Rb  0.0000  0.5000  0.0000  0.00
Nb  0.0000  0.0000  0.5000  0.73


No. 11
A plane-wave DFT calculation with GGA-PBE was carried out for a geometry-optimized ZrTeRhN2 structure.

## Properties
The calculation puts the total energy at -6.4169 eV per atom. Its total magnetization is 0.80 μB/f.u.

a = 4.0768 Å, b = 4.0768 Å, c = 6.1713 Å
α = 90.00°, β = 90.00°, γ = 90.00°
Each line ends with the local moment (μB).
Positions (direct):
N  0.0000  0.5000  0.0000  -0.07
N  0.5000  0.0000  0.0000  -0.07
Rh  0.5000  0.5000  0.5000  0.80
Zr  0.0000  0.0000  0.0000  0.03
Te  0.0000  0.0000  0.5000  0.04


No. 12
A plane-wave DFT calculation with GGA-PBE was carried out for a geometry-optimized Gd3SbO7 structure.

## Properties
The calculation puts the total energy at -10.2831 eV per atom. Its total magnetization is 21.00 μB/f.u.

a = 6.5120 Å, b = 6.5551 Å, c = 7.6642 Å
α = 106.81°, β = 89.83°, γ = 97.89°
Each line ends with the local moment (μB).
Positions (direct):
O  0.9280  0.6722  0.3895  0.00
O  0.7111  0.0667  0.0465  0.00
O  0.2889  0.9333  0.9535  0.00
O  0.5598  0.3538  0.8343  0.01
O  0.5474  0.3625  0.3439  0.01
O  0.9040  0.9346  0.7330  0.00
O  0.0960  0.0654  0.2670  0.00
O  0.0720  0.3278  0.6105  0.00
O  0.4526  0.6375  0.6561  0.01
O  0.7128  0.0648  0.4849  0.00
O  0.0754  0.3190  0.0462  0.00
O  0.9246  0.6810  0.9538  0.00
O  0.4402  0.6462  0.1657  0.01
O  0.2872  0.9352  0.5151  0.00
Sb  0.0000  0.0000  0.0000  0.01
Sb  0.0000  0.0000  0.5000  0.01
Gd  0.2629  0.5334  0.8827  6.93
Gd  0.7371  0.4666  0.1173  6.93
Gd  0.2606  0.5263  0.3852  6.92
Gd  0.7394  0.4737  0.6148  6.92
Gd  0.4601  0.0047  0.2515  6.92
Gd  0.5399  0.9953  0.7485  6.92


What did the eleventh record say?
A plane-wave DFT calculation with GGA-PBE was carried out for a geometry-optimized ZrTeRhN2 structure.

## Properties
The calculation puts the total energy at -6.4169 eV per atom. Its total magnetization is 0.80 μB/f.u.

a = 4.0768 Å, b = 4.0768 Å, c = 6.1713 Å
α = 90.00°, β = 90.00°, γ = 90.00°
Each line ends with the local moment (μB).
Positions (direct):
N  0.0000  0.5000  0.0000  -0.07
N  0.5000  0.0000  0.0000  -0.07
Rh  0.5000  0.5000  0.5000  0.80
Zr  0.0000  0.0000  0.0000  0.03
Te  0.0000  0.0000  0.5000  0.04